## Al2Pt2Au (SCAN)

Data for Al2Pt2Au at its PBEsol-relaxed geometry.

a b c (Å): 2.8113 7.3460 7.3460
angles (deg): 90.00 90.00 90.00
Last column: nearest neighbours and their distance in Å.
Element x y z (fractional)
Au1 0.0000 0.0000 0.0000  2 Au 2.81, 4 Pt 2.83, 8 Al 3.11
Au2 0.0000 0.5000 0.5000  2 Au 2.81, 4 Pt 2.83, 8 Al 3.11
Al1 0.5000 0.1568 0.6568  6 Pt 2.53-2.60, 2 Al 2.81
Al2 0.5000 0.6568 0.8432  6 Pt 2.53-2.60, 2 Al 2.81
Al3 0.5000 0.8432 0.3432  6 Pt 2.53-2.60, 2 Al 2.81
Al4 0.5000 0.3432 0.1568  6 Pt 2.53-2.60, 2 Al 2.81
Pt1 0.0000 0.3593 0.8593  6 Al 2.53-2.60, 2 Pt 2.81
Pt2 0.0000 0.8593 0.6407  6 Al 2.53-2.60, 2 Pt 2.81
Pt3 0.0000 0.6407 0.1407  6 Al 2.53-2.60, 2 Pt 2.81
Pt4 0.0000 0.1407 0.3593  6 Al 2.53-2.60, 2 Pt 2.81

Output
Energy of formation from the pure elements = -988.1 meV/atom
Total magnetic moment = 0.0 μB/cell